BaPIrS2 (SCAN, PBEsol geometry); raw formation energy = -0.6594 eV/atom; polymorph energy (0 for the lowest one) = 0 meV per atom; total magnetic moment = 0.00 μB/cell
1.0
5.034 0.000 0.000
0.000 5.034 0.000
0.000 0.000 4.351
Ba P Ir S
1 1 1 2
direct
0.000 0.000 0.000
0.500 0.500 0.000
0.500 0.500 0.500
0.000 0.500 0.500
0.500 0.000 0.500

---

BaIrPb2 (SCAN, PBEsol geometry); formation enthalpy at 0 K = 0.38 eV/atom; total magnetic moment = 0.00 μB/cell
1.0
3.186 -5.771 0.000
3.186 5.771 0.000
-1.761 0.000 2.933
Ba Ir Pb
1 1 2
direct
0.000 0.000 0.000
0.500 0.500 0.000
0.000 0.500 0.500
0.500 0.000 0.500

---

BaIrPb2 (SCAN, PBEsol geometry); formation enthalpy at 0 K = 0.07 eV/atom; total magnetic moment = 0.00 μB/cell
1.0
3.653 0.000 0.000
0.000 3.653 0.000
0.000 0.000 8.114
Ba Ir Pb
1 1 2
direct
0.000 0.000 0.000
0.500 0.500 0.276
0.000 0.000 0.412
0.500 0.500 0.665